BeAsOs2 | PBE | relaxed

The spin magnetization is 0.0 μB per formula unit. The energy above the most stable polymorph in this dataset is 88 meV per atom. The formation energy comes out at 0.2128 eV/atom. As for the density of states at the Fermi level: 1.98 states/eV/f.u.

It has space group P4mm (No. 99), with a = 2.842 Å, b = 2.842 Å, c = 8.381 Å, α = 90.00°, β = 90.00° and γ = 90.00°. Symmetry generates all atoms from Be at (0.000, 0.000, 0.000), As at (0.500, 0.500, 0.562), Os at (0.000, 0.000, 0.363) and Os at (0.500, 0.500, 0.143).

=====

BaTe2Ru2 | PBE | relaxed

For the raw formation energy, the calculation gives -2.36 eV per formula unit. The spin magnetization is 0.0 μB per formula unit. As for the density of states at the Fermi level: 3.49 states/eV/f.u.

It has space group I4/mmm (No. 139), with a = 4.348 Å, b = 4.348 Å, c = 13.320 Å, α = 90.00°, β = 90.00° and γ = 90.00°. Symmetry generates all atoms from Ba at (0.000, 0.000, 0.000), Te at (0.000, 0.000, 0.358) and Ru at (0.000, 0.500, 0.250).

=====

Li6Zn3Ag | PBE | relaxed

The spin magnetization is 0.0 μB per formula unit. The formation energy comes out at -0.1109 eV/atom. As for the density of states at the Fermi level: 2.63 states/eV/f.u.

It has space group P2_1/c (No. 14), with a = 4.631 Å, b = 7.823 Å, c = 10.796 Å, α = 90.00°, β = 115.30° and γ = 90.00°. Symmetry generates all atoms from Li at (0.091, 0.164, 0.090), Li at (0.245, 0.673, 0.747), Li at (0.408, 0.163, 0.408), Zn at (0.258, 0.010, 0.756), Zn at (0.500, 0.000, 0.000) and Ag at (0.000, 0.000, 0.500).

=====

NaTbSm2Se4 | PBE | relaxed

For the raw formation energy, the calculation gives -14.02 eV per formula unit. The spin magnetization is 0.0 μB per formula unit. As for the density of states at the Fermi level: 2.77 states/eV/f.u.

It has space group P2/m (No. 10), with a = 7.214 Å, b = 4.138 Å, c = 7.215 Å, α = 90.00°, β = 109.08° and γ = 90.00°. Symmetry generates all atoms from Na at (0.000, 0.000, 0.000), Tb at (0.000, 0.500, 0.500), Sm at (0.500, 0.000, 0.500), Sm at (0.500, 0.500, 0.000), Se at (0.244, 0.000, 0.747) and Se at (0.248, 0.500, 0.253).

=====

Ba2CdIn6Ag | PBE | relaxed

The spin magnetization is 0.0 μB per formula unit. The formation energy comes out at -0.2263 eV/atom. As for the density of states at the Fermi level: 3.17 states/eV/f.u.

It has space group R-3m (No. 166, hexagonal axes), with a = 7.3277 Å, b = 7.3277 Å, c = 40.1044 Å, α = 90.00°, β = 90.00° and γ = 120.00°. Symmetry generates all atoms from Ba at (0.0000, 0.0000, 0.1061), Ba at (0.0000, 0.0000, 0.2792), Cd at (0.0000, 0.0000, 0.4260), In at (0.0560, 0.5280, 0.3030), In at (0.0613, 0.5307, 0.8639), Ag at (0.0000, 0.0000, 0.0000) and Ag at (0.0000, 0.0000, 0.5000).

=====

AlP2 | PBE | relaxed

The spin magnetization is 0.0 μB per formula unit. The formation energy comes out at 0.1370 eV/atom. As for the density of states at the Fermi level: 0.94 states/eV/f.u.

It has space group Pnma (No. 62), with a = 5.020 Å, b = 4.812 Å, c = 8.437 Å, α = 90.00°, β = 90.00° and γ = 90.00°. Symmetry generates all atoms from Al at (0.247, 0.250, 0.091), P at (0.070, 0.750, 0.142) and P at (0.233, 0.250, 0.408).